[1]
# Ca2MoOs, relaxed, DFT GGA-PBE
# Polymorph energy (0 for the lowest one) = 0.0 meV/atom
# Total magnetic moment = 0.0 μB/f.u.
data_Ca2MoOs
_chemical_formula_sum 'Ca4 Mo2 Os2'
_cell_length_a 7.285
_cell_length_b 4.197
_cell_length_c 8.090
_cell_angle_alpha 90.00
_cell_angle_beta 106.99
_cell_angle_gamma 90.00
_symmetry_space_group_name_H-M 'C 1 m 1'
_symmetry_Int_Tables_number 8
_symmetry_space_group_name_Hall 'C -2y'
loop_
_atom_site_label
_atom_site_fract_x
_atom_site_fract_y
_atom_site_fract_z
_atom_site_occupancy
Ca1 0.000 0.000 0.000 1
Ca2 0.177 0.000 0.543 1
Mo1 0.428 0.000 0.290 1
Os1 0.246 0.500 0.245 1

[2]
# CaDy5Ho6, relaxed, DFT GGA-PBE
# Energy = -103.78 eV/cell
# Total magnetic moment = 0.0 μB/f.u.
data_CaDy5Ho6
_chemical_formula_sum 'Ca2 Dy10 Ho12'
_cell_length_a 11.786
_cell_length_b 10.669
_cell_length_c 6.156
_cell_angle_alpha 90.00
_cell_angle_beta 100.02
_cell_angle_gamma 90.00
_symmetry_space_group_name_H-M 'C 1 2/m 1'
_symmetry_Int_Tables_number 12
_symmetry_space_group_name_Hall '-C 2y'
loop_
_atom_site_label
_atom_site_fract_x
_atom_site_fract_y
_atom_site_fract_z
_atom_site_occupancy
Ca1 0.000 0.000 0.000 1
Dy1 0.000 0.171 0.500 1
Dy2 0.000 0.339 0.000 1
Dy3 0.000 0.500 0.500 1
Ho1 0.245 0.330 0.748 1
Ho2 0.248 0.500 0.260 1

[3]
# Li2H6PdRu, relaxed, DFT GGA-PBE
# Energy = -40.41 eV/cell
# Total magnetic moment = 0.0 μB/f.u.
data_Li2H6PdRu
_chemical_formula_sum 'Li2 H6 Pd1 Ru1'
_cell_length_a 4.692
_cell_length_b 4.783
_cell_length_c 4.799
_cell_angle_alpha 61.79
_cell_angle_beta 61.51
_cell_angle_gamma 60.93
_symmetry_space_group_name_H-M 'P 1'
_symmetry_Int_Tables_number 1
_symmetry_space_group_name_Hall 'P 1'
loop_
_atom_site_label
_atom_site_fract_x
_atom_site_fract_y
_atom_site_fract_z
_atom_site_occupancy
Li1 0.000 0.000 0.000 1
Li2 0.493 0.506 0.498 1
H1 0.002 0.494 0.000 1
H2 0.012 0.542 0.451 1
H3 0.388 0.928 0.580 1
H4 0.445 0.544 0.025 1
H5 0.549 0.093 0.928 1
H6 0.923 0.091 0.415 1
Pd1 0.737 0.774 0.737 1
Ru1 0.254 0.241 0.255 1

[4]
# CaOs2W, relaxed, DFT GGA-PBE
# Polymorph energy (0 for the lowest one) = 230.6 meV/atom
# Total magnetic moment = 0.0 μB/f.u.
data_CaOs2W
_chemical_formula_sum 'Ca1 Os2 W1'
_cell_length_a 4.600
_cell_length_b 4.600
_cell_length_c 3.135
_cell_angle_alpha 90.00
_cell_angle_beta 90.00
_cell_angle_gamma 90.00
_symmetry_space_group_name_H-M 'P 4/m m m'
_symmetry_Int_Tables_number 123
_symmetry_space_group_name_Hall '-P 4 2'
loop_
_atom_site_label
_atom_site_fract_x
_atom_site_fract_y
_atom_site_fract_z
_atom_site_occupancy
Ca1 0.000 0.000 0.000 1
Os1 0.000 0.500 0.500 1
W1 0.500 0.500 0.000 1

[5]
# Li3Y2TmSe6, relaxed, DFT GGA-PBE
# Formation energy without anion corrections = -1701 meV/atom
# Total magnetic moment = 0.0 μB/f.u.
data_Li3Y2TmSe6
_chemical_formula_sum 'Li6 Y4 Tm2 Se12'
_cell_length_a 7.022
_cell_length_b 12.163
_cell_length_c 6.908
_cell_angle_alpha 90.00
_cell_angle_beta 109.81
_cell_angle_gamma 90.00
_symmetry_space_group_name_H-M 'C 1 2/m 1'
_symmetry_Int_Tables_number 12
_symmetry_space_group_name_Hall '-C 2y'
loop_
_atom_site_label
_atom_site_fract_x
_atom_site_fract_y
_atom_site_fract_z
_atom_site_occupancy
Li1 0.000 0.000 0.000 1
Li2 0.000 0.333 0.000 1
Y1 0.000 0.167 0.500 1
Tm1 0.000 0.500 0.500 1
Se1 0.246 0.500 0.248 1
Se2 0.249 0.335 0.753 1

[6]
# Cs2KLi2, relaxed, DFT GGA-PBE
# Polymorph energy (0 for the lowest one) = 17.9 meV/atom
# Total magnetic moment = 0.0 μB/f.u.
data_Cs2KLi2
_chemical_formula_sum 'Cs4 K2 Li4'
_cell_length_a 10.067
_cell_length_b 10.067
_cell_length_c 6.414
_cell_angle_alpha 90.00
_cell_angle_beta 90.00
_cell_angle_gamma 90.00
_symmetry_space_group_name_H-M 'P 4/m b m'
_symmetry_Int_Tables_number 127
_symmetry_space_group_name_Hall '-P 4 2ab'
loop_
_atom_site_label
_atom_site_fract_x
_atom_site_fract_y
_atom_site_fract_z
_atom_site_occupancy
Cs1 0.176 0.324 0.000 1
K1 0.000 0.000 0.500 1
Li1 0.108 0.608 0.500 1

[7]
# LaPr2TmS5, relaxed, DFT GGA-PBE
# Formation energy without anion corrections = -1595 meV/atom
# Total magnetic moment = 0.0 μB/f.u.
data_LaPr2TmS5
_chemical_formula_sum 'La1 Pr2 Tm1 S5'
_cell_length_a 4.838
_cell_length_b 4.838
_cell_length_c 10.546
_cell_angle_alpha 90.00
_cell_angle_beta 90.00
_cell_angle_gamma 90.00
_symmetry_space_group_name_H-M 'P 4/m m m'
_symmetry_Int_Tables_number 123
_symmetry_space_group_name_Hall '-P 4 2'
loop_
_atom_site_label
_atom_site_fract_x
_atom_site_fract_y
_atom_site_fract_z
_atom_site_occupancy
La1 0.000 0.000 0.000 1
Pr1 0.500 0.500 0.306 1
Tm1 0.000 0.000 0.500 1
S1 0.000 0.000 0.253 1
S2 0.000 0.500 0.500 1
S3 0.500 0.500 0.000 1

[8]
# RbHRh3, relaxed, DFT GGA-PBE
# Polymorph energy (0 for the lowest one) = 0.0 meV/atom
# Total magnetic moment = 0.0 μB/f.u.
data_RbHRh3
_chemical_formula_sum 'Rb1 H1 Rh3'
_cell_length_a 4.203
_cell_length_b 4.203
_cell_length_c 4.203
_cell_angle_alpha 90.00
_cell_angle_beta 90.00
_cell_angle_gamma 90.00
_symmetry_space_group_name_H-M 'P m -3 m'
_symmetry_Int_Tables_number 221
_symmetry_space_group_name_Hall '-P 4 2 3'
loop_
_atom_site_label
_atom_site_fract_x
_atom_site_fract_y
_atom_site_fract_z
_atom_site_occupancy
Rb1 0.000 0.000 0.000 1
H1 0.500 0.500 0.500 1
Rh1 0.000 0.500 0.500 1

Repeat the fifth record exactly.
# Li3Y2TmSe6, relaxed, DFT GGA-PBE
# Formation energy without anion corrections = -1701 meV/atom
# Total magnetic moment = 0.0 μB/f.u.
data_Li3Y2TmSe6
_chemical_formula_sum 'Li6 Y4 Tm2 Se12'
_cell_length_a 7.022
_cell_length_b 12.163
_cell_length_c 6.908
_cell_angle_alpha 90.00
_cell_angle_beta 109.81
_cell_angle_gamma 90.00
_symmetry_space_group_name_H-M 'C 1 2/m 1'
_symmetry_Int_Tables_number 12
_symmetry_space_group_name_Hall '-C 2y'
loop_
_atom_site_label
_atom_site_fract_x
_atom_site_fract_y
_atom_site_fract_z
_atom_site_occupancy
Li1 0.000 0.000 0.000 1
Li2 0.000 0.333 0.000 1
Y1 0.000 0.167 0.500 1
Tm1 0.000 0.500 0.500 1
Se1 0.246 0.500 0.248 1
Se2 0.249 0.335 0.753 1